AlGeP2O | PBE | relaxed

a = 4.8785 Å, b = 4.8785 Å, c = 3.5413 Å
α = 90.00°, β = 90.00°, γ = 90.00°
Element x y z (fractional)
Al 0.0000 0.0000 0.0000
Ge 0.5000 0.5000 0.5000
P 0.0000 0.5000 0.5000
P 0.5000 0.0000 0.5000
O 0.5000 0.5000 0.0000

Values from the calculation:
The energy above the most stable polymorph in this dataset comes out at 391 meV/atom. For the density of states at the Fermi level, the calculation gives 2.9 states/eV/cell. The formation energy without anion corrections is 0.23 eV/atom.